[1]
10
Lattice="7.162 0.000 0.000 0.000 7.162 0.000 0.000 0.000 3.795" Properties=species:S:1:pos:R:3 comment="Ag2Pd2Pb | the Alexandria database | PBE-GGA | optimized geometry" final_energy_ev_per_cell=-40.0 de_polymorph_mev_per_atom=0 pbc="T T T"
Ag 1.104 2.477 0.000
Ag 2.477 6.058 0.000
Ag 4.685 1.104 0.000
Ag 6.058 4.685 0.000
Pd 0.999 4.580 1.897
Pd 2.582 0.999 1.897
Pd 4.580 6.163 1.897
Pd 6.163 2.582 1.897
Pb 0.000 0.000 1.897
Pb 3.581 3.581 1.897

[2]
4
Lattice="6.282 -1.912 0.000 6.282 1.912 0.000 -3.261 0.000 5.835" Properties=species:S:1:pos:R:3 comment="BaY2Au | the Alexandria database | PBE-GGA | optimized geometry" final_energy_ev_per_cell=-19.0 de_polymorph_mev_per_atom=92 pbc="T T T"
Ba 0.000 0.000 0.000
Y 5.823 0.000 3.514
Y 9.270 0.000 2.014
Au 0.243 0.000 5.687

[3]
4
Lattice="1.573 0.908 9.945 -1.573 0.908 9.945 0.000 -1.816 9.945" Properties=species:S:1:pos:R:3 comment="HfTiIn2 | the Alexandria database | PBE-GGA | optimized geometry" final_energy_ev_per_cell=-23.4 de_polymorph_mev_per_atom=128 pbc="T T T"
Hf 0.000 0.000 0.000
Ti 0.000 0.000 14.918
In 0.000 0.000 7.364
In 0.000 0.000 22.472

[4]
7
Lattice="4.319 0.000 0.000 0.000 4.319 0.000 0.000 0.000 7.013" Properties=species:S:1:pos:R:3 comment="PmMnGa5 | the Alexandria database | PBE-GGA | optimized geometry" final_energy_ev_per_cell=-31.6 pbc="T T T"
Pm 0.000 0.000 0.000
Mn 0.000 0.000 3.507
Ga 0.000 2.160 2.185
Ga 0.000 2.160 4.829
Ga 2.160 0.000 2.185
Ga 2.160 0.000 4.829
Ga 2.160 2.160 0.000

[5]
6
Lattice="0.000 3.866 3.866 3.866 0.000 3.866 3.866 3.866 0.000" Properties=species:S:1:pos:R:3 comment="PmTlPt4 | the Alexandria database | PBE-GGA | optimized geometry" final_energy_ev_per_cell=-35.7 pbc="T T T"
Pm 0.000 0.000 0.000
Tl 5.799 5.799 5.799
Pt 2.903 2.903 2.903
Pt 4.829 4.829 2.903
Pt 4.829 2.903 4.829
Pt 2.903 4.829 4.829

[6]
4
Lattice="3.847 -1.758 0.000 3.847 1.758 0.000 -1.741 0.000 5.724" Properties=species:S:1:pos:R:3 comment="MnSi2Pb | the Alexandria database | PBE-GGA | optimized geometry" final_energy_ev_per_cell=-23.0 formation_energy_uncorrected_ev_per_atom=0.19 pbc="T T T"
Mn 0.000 0.000 0.000
Si 0.590 0.000 4.972
Si 5.362 0.000 0.753
Pb 2.976 0.000 2.862